Below is crystalline AcNdCu2 at its relaxed geometry, with properties calculated at the PBE level.

Calculated values
DFT formation energy   -0.148 eV per atom
Energy relative to the lowest polymorph listed for this composition   0 meV/atom
D(E_F)   3.35 states/eV per cell

a = 4.1238 Å, b = 4.5462 Å, c = 5.8703 Å
α = 90.00°, β = 110.28°, γ = 90.00°
Space group Pm (No. 6)
Symmetry-distinct sites (fractional):
Ac 0.0000 0.0000 0.0000 x1
Nd 0.2826 0.5000 0.5678 x1
Cu 0.5871 0.5000 0.1738 x1
Cu 0.7099 0.0000 0.4231 x1